First-principles (GGA-PBE) data for a relaxed Rb2Na3Pb crystal, as listed in Alexandria via LeMat-Bulk.

Lattice parameters (Å, degrees): 7.274 7.274 7.034 89.97 120.95 120.21
Positions (direct):
Pb1 0.000 0.000 0.000
Na1 0.000 0.000 0.500
Na2 0.500 0.000 0.500
Na3 0.500 0.500 0.500
Rb1 0.741 0.371 0.111
Rb2 0.259 0.629 0.889

Values from the calculation:
SG: C2/m, No. 12
Relative energy among the computed polymorphs in eV per formula unit: 0.00
DFT formation energy in kJ/mol of atoms: -6.7
DOS at the Fermi energy in states/eV per cell: 2.6
ρ in g/cm3: 2.871


First-principles (GGA-PBE) data for a relaxed NbZnTe2Cl crystal, as listed in Alexandria via LeMat-Bulk.

Lattice parameters (Å, degrees): 5.305 5.311 5.305 90.00 90.00 90.00
Positions (direct):
Nb1 0.000 0.000 0.000
Te1 0.000 0.000 0.500
Te2 0.500 0.000 0.000
Zn1 0.000 0.500 0.000
Cl1 0.500 0.500 0.500

Values from the calculation:
SG: P4/mmm, No. 123
E_form (uncorrected) in eV/f.u.: 0.54
DOS at the Fermi energy in states/eV per cell: 5.0
ρ in g/cm3: 4.988


First-principles (GGA-PBE) data for a relaxed SbIrOs2 crystal, as listed in Alexandria via LeMat-Bulk.

Lattice parameters (Å, degrees): 2.870 3.811 5.904 90.00 90.00 90.00
Positions (direct):
Sb1 0.500 0.500 0.250
Ir1 0.500 0.500 0.750
Os1 0.000 0.000 0.524
Os2 0.000 0.000 0.976

Values from the calculation:
SG: Pmmm, No. 47
E_form (uncorrected) in eV/f.u.: 2.32
DOS at the Fermi energy in states/eV per cell: 4.6
ρ in g/cm3: 17.860


Look up the ρ of the first one. 2.871 g/cm3